A plane-wave DFT calculation with PBE was carried out for a relaxed structure of La5Bi2Ru.

a b c (Å): 7.694 7.694 9.013
angles (deg): 90.00 90.00 90.00
Space group I4mm (No. 107)
Asymmetric unit:
La: 0.000 0.000 0.000 [2 per cell]
La: 0.250 0.250 0.271 [8 per cell]
Bi: 0.000 0.500 0.019 [4 per cell]
Ru: 0.000 0.000 0.297 [2 per cell]

Calculated values
- Fermi-level density of states: 15.9 states/eV/cell
- E_form: -3.69 eV per formula unit
- DFT total energy: -5.670 eV/atom
- Energy above the lowest structure with this stoichiometry: 5.68 kcal/mol of atoms
- M_tot: 0.00 μB per cell